Record 1
BiTe2Ir | PBE-GGA | relaxed

Computed properties:
formation energy without anion corrections: 0.199 eV per atom
uncorrected energy: -72.9 eV per cell

a b c (Å): 6.748 6.748 11.981
angles (deg): 90.00 90.00 90.00
Fractional coordinates of all 16 atoms:
Bi  0.000  0.000  0.000
Bi  0.000  0.500  0.250
Bi  0.500  0.000  0.750
Bi  0.500  0.500  0.500
Te  0.180  0.250  0.625
Te  0.250  0.680  0.875
Te  0.250  0.820  0.375
Te  0.320  0.250  0.125
Te  0.680  0.750  0.125
Te  0.750  0.180  0.375
Te  0.750  0.320  0.875
Te  0.820  0.750  0.625
Ir  0.000  0.000  0.500
Ir  0.000  0.500  0.750
Ir  0.500  0.000  0.250
Ir  0.500  0.500  0.000

---

Record 2
BiTeIr3 | PBE-GGA | relaxed

Computed properties:
formation energy without anion corrections: 1.935 eV per atom
offset from the most stable computed form: 301 kJ/mol of formula units
uncorrected energy: -23.9 eV per cell

a b c (Å): 4.999 4.999 4.999
angles (deg): 90.00 90.00 90.00
Fractional coordinates of all 5 atoms:
Bi  0.000  0.000  0.000
Te  0.500  0.500  0.500
Ir  0.000  0.000  0.500
Ir  0.000  0.500  0.000
Ir  0.500  0.000  0.000

---

Record 3
Th4Bi3Ir | PBE-GGA | relaxed

Computed properties:
uncorrected energy: -111.4 eV per cell
DFT formation energy: -5.5 eV/f.u.

a b c (Å): 8.020 9.114 7.573
angles (deg): 90.00 108.96 90.00
Fractional coordinates of all 16 atoms:
Th  0.208  0.110  0.014
Th  0.208  0.890  0.514
Th  0.232  0.347  0.477
Th  0.232  0.653  0.977
Th  0.768  0.347  0.023
Th  0.768  0.653  0.523
Th  0.792  0.110  0.486
Th  0.792  0.890  0.986
Bi  0.000  0.382  0.750
Bi  0.000  0.618  0.250
Bi  0.500  0.122  0.750
Bi  0.500  0.386  0.250
Bi  0.500  0.614  0.750
Bi  0.500  0.878  0.250
Ir  0.000  0.119  0.250
Ir  0.000  0.881  0.750

---

Record 4
ThBiIr4 | PBE-GGA | relaxed

Computed properties:
uncorrected energy: -48.8 eV per cell
DFT formation energy: -2.0 eV/f.u.

a b c (Å): 5.439 5.439 5.439
angles (deg): 60.00 60.00 60.00
Fractional coordinates of all 6 atoms:
Th  0.000  0.000  0.000
Bi  0.750  0.750  0.750
Ir  0.376  0.376  0.376
Ir  0.376  0.376  0.873
Ir  0.376  0.873  0.376
Ir  0.873  0.376  0.376

---

Record 5
Th4Bi5Ir | PBE-GGA | relaxed

Computed properties:
uncorrected energy: -62.4 eV per cell
DFT formation energy: -4.5 eV/f.u.

a b c (Å): 9.613 9.613 8.519
angles (deg): 104.07 104.07 26.84
Fractional coordinates of all 10 atoms:
Th  0.044  0.044  0.232
Th  0.361  0.361  0.065
Th  0.639  0.639  0.935
Th  0.956  0.956  0.768
Bi  0.134  0.134  0.635
Bi  0.214  0.214  0.214
Bi  0.500  0.500  0.500
Bi  0.786  0.786  0.786
Bi  0.866  0.866  0.365
Ir  0.500  0.500  0.000

---

Record 6
Th4Bi2Ir | PBE-GGA | relaxed

Computed properties:
uncorrected energy: -99.1 eV per cell
DFT formation energy: -3.3 eV/f.u.

a b c (Å): 6.906 6.647 9.976
angles (deg): 90.00 109.32 90.00
Fractional coordinates of all 14 atoms:
Th  0.183  0.250  0.122
Th  0.253  0.521  0.753
Th  0.253  0.979  0.753
Th  0.306  0.750  0.421
Th  0.694  0.250  0.579
Th  0.747  0.021  0.247
Th  0.747  0.479  0.247
Th  0.817  0.750  0.878
Bi  0.182  0.250  0.455
Bi  0.342  0.750  0.067
Bi  0.658  0.250  0.933
Bi  0.818  0.750  0.545
Ir  0.002  0.750  0.167
Ir  0.998  0.250  0.833

---

Record 7
Th4BiIr | PBE-GGA | relaxed

Computed properties:
uncorrected energy: -87.9 eV per cell
DFT formation energy: -1.5 eV/f.u.

a b c (Å): 8.183 7.484 6.500
angles (deg): 90.00 95.48 90.00
Fractional coordinates of all 12 atoms:
Th  0.129  0.149  0.387
Th  0.129  0.351  0.887
Th  0.302  0.624  0.401
Th  0.302  0.876  0.901
Th  0.698  0.124  0.099
Th  0.698  0.376  0.599
Th  0.871  0.649  0.113
Th  0.871  0.851  0.613
Bi  0.500  0.000  0.500
Bi  0.500  0.500  0.000
Ir  0.000  0.000  0.000
Ir  0.000  0.500  0.500

---

Record 8
Th6Bi3Ir | PBE-GGA | relaxed

Computed properties:
uncorrected energy: -138.2 eV per cell
DFT formation energy: -4.1 eV/f.u.

a b c (Å): 7.145 8.541 12.740
angles (deg): 90.00 121.74 90.00
Fractional coordinates of all 20 atoms:
Th  0.058  0.041  0.237
Th  0.058  0.459  0.737
Th  0.168  0.697  0.052
Th  0.168  0.803  0.552
Th  0.405  0.158  0.056
Th  0.405  0.342  0.556
Th  0.595  0.658  0.444
Th  0.595  0.842  0.944
Th  0.832  0.197  0.448
Th  0.832  0.303  0.948
Th  0.942  0.541  0.263
Th  0.942  0.959  0.763
Bi  0.335  0.132  0.749
Bi  0.335  0.368  0.249
Bi  0.500  0.000  0.500
Bi  0.500  0.500  0.000
Bi  0.665  0.632  0.751
Bi  0.665  0.868  0.251
Ir  0.000  0.000  0.000
Ir  0.000  0.500  0.500